Record 1
The following is a DFT calculation (PBE) of a relaxed Na2SO4 crystal.

Results
The total energy comes out at -5.600 eV per atom. As for the offset from the most stable computed form: 0.012 eV/atom. As for the raw formation energy: -1800 meV/atom.

```
data_Na2SO4
_cell_length_a 5.446
_cell_length_b 5.446
_cell_length_c 7.820
_cell_angle_alpha 90.00
_cell_angle_beta 90.00
_cell_angle_gamma 90.00
_space_group_name_H-M_alt 'I -4 2 m'
_space_group_IT_number 121
_space_group_name_Hall 'I -4 2'
loop_
_atom_site_label
_atom_site_fract_x
_atom_site_fract_y
_atom_site_fract_z
Na1 0.000 0.500 0.250
S1 0.000 0.000 0.000
O1 0.159 0.159 0.891
```

---

Record 2
The following is a DFT calculation (PBE) of a relaxed Na2S2O7 crystal.

Results
The total energy comes out at -5.713 eV per atom. As for the offset from the most stable computed form: 0.049 eV/atom. As for the raw formation energy: -1567 meV/atom.

```
data_Na2S2O7
_cell_length_a 7.002
_cell_length_b 9.230
_cell_length_c 4.736
_cell_angle_alpha 90.00
_cell_angle_beta 101.15
_cell_angle_gamma 90.00
_space_group_name_H-M_alt 'C 1 2/m 1'
_space_group_IT_number 12
_space_group_name_Hall '-C 2y'
loop_
_atom_site_label
_atom_site_fract_x
_atom_site_fract_y
_atom_site_fract_z
Na1 0.000 0.191 0.000
S1 0.213 0.500 0.415
O1 0.000 0.500 0.500
O2 0.152 0.000 0.310
O3 0.218 0.367 0.249
```

---

Record 3
The following is a DFT calculation (PBE) of a relaxed Na2SO4 crystal.

Results
The total energy comes out at -5.605 eV per atom. As for the offset from the most stable computed form: 0.006 eV/atom. As for the raw formation energy: -1806 meV/atom.

```
data_Na2SO4
_cell_length_a 9.656
_cell_length_b 7.075
_cell_length_c 5.314
_cell_angle_alpha 90.00
_cell_angle_beta 90.00
_cell_angle_gamma 90.00
_space_group_name_H-M_alt 'P n m a'
_space_group_IT_number 62
_space_group_name_Hall '-P 2ac 2n'
loop_
_atom_site_label
_atom_site_fract_x
_atom_site_fract_y
_atom_site_fract_z
Na1 0.000 0.000 0.000
Na2 0.146 0.250 0.483
S1 0.178 0.750 0.488
O1 0.121 0.578 0.364
O2 0.137 0.750 0.760
O3 0.167 0.250 0.964
```

---

Record 4
The following is a DFT calculation (PBE) of a relaxed Na3SO crystal.

Results
The total energy comes out at -3.548 eV per atom. As for the offset from the most stable computed form: 0.000 eV/atom. As for the raw formation energy: -939 meV/atom.

```
data_Na3SO
_cell_length_a 4.521
_cell_length_b 4.521
_cell_length_c 4.521
_cell_angle_alpha 90.00
_cell_angle_beta 90.00
_cell_angle_gamma 90.00
_space_group_name_H-M_alt 'P m -3 m'
_space_group_IT_number 221
_space_group_name_Hall '-P 4 2 3'
loop_
_atom_site_label
_atom_site_fract_x
_atom_site_fract_y
_atom_site_fract_z
Na1 0.000 0.000 0.500
S1 0.500 0.500 0.500
O1 0.000 0.000 0.000
```

---

Record 5
The following is a DFT calculation (PBE) of a relaxed Na3SO6 crystal.

Results
The total energy comes out at -4.850 eV per atom. As for the raw formation energy: -1067 meV/atom.

```
data_Na3SO6
_cell_length_a 5.501
_cell_length_b 5.563
_cell_length_c 9.540
_cell_angle_alpha 90.00
_cell_angle_beta 125.12
_cell_angle_gamma 90.00
_space_group_name_H-M_alt 'P 1 21/c 1'
_space_group_IT_number 14
_space_group_name_Hall '-P 2ybc'
loop_
_atom_site_label
_atom_site_fract_x
_atom_site_fract_y
_atom_site_fract_z
Na1 0.000 0.000 0.000
Na2 0.257 0.033 0.750
S1 0.500 0.000 0.500
O1 0.226 0.026 0.298
O2 0.293 0.667 0.032
O3 0.384 0.239 0.544
```

---

Record 6
The following is a DFT calculation (PBE) of a relaxed Na4SO crystal.

Results
The total energy comes out at -3.440 eV per atom. As for the raw formation energy: -1047 meV/atom.

```
data_Na4SO
_cell_length_a 8.037
_cell_length_b 8.291
_cell_length_c 4.005
_cell_angle_alpha 90.00
_cell_angle_beta 90.00
_cell_angle_gamma 90.00
_space_group_name_H-M_alt 'C m m m'
_space_group_IT_number 65
_space_group_name_Hall '-C 2 2'
loop_
_atom_site_label
_atom_site_fract_x
_atom_site_fract_y
_atom_site_fract_z
Na1 0.000 0.170 0.000
Na2 0.219 0.500 0.500
S1 0.000 0.500 0.000
O1 0.000 0.000 0.500
```

---

Record 7
The following is a DFT calculation (PBE) of a relaxed NaS3O crystal.

Results
The total energy comes out at -3.352 eV per atom. As for the offset from the most stable computed form: 0.000 eV/atom. As for the raw formation energy: 380 meV/atom.

```
data_NaS3O
_cell_length_a 4.318
_cell_length_b 4.318
_cell_length_c 4.318
_cell_angle_alpha 90.00
_cell_angle_beta 90.00
_cell_angle_gamma 90.00
_space_group_name_H-M_alt 'P m -3 m'
_space_group_IT_number 221
_space_group_name_Hall '-P 4 2 3'
loop_
_atom_site_label
_atom_site_fract_x
_atom_site_fract_y
_atom_site_fract_z
Na1 0.000 0.000 0.000
S1 0.000 0.500 0.500
O1 0.500 0.500 0.500
```

---

Record 8
The following is a DFT calculation (PBE) of a relaxed NaS3O crystal.

Results
The total energy comes out at -1.982 eV per atom. As for the offset from the most stable computed form: 1.370 eV/atom. As for the raw formation energy: 1750 meV/atom.

```
data_NaS3O
_cell_length_a 4.808
_cell_length_b 4.808
_cell_length_c 4.808
_cell_angle_alpha 90.00
_cell_angle_beta 90.00
_cell_angle_gamma 90.00
_space_group_name_H-M_alt 'P m -3 m'
_space_group_IT_number 221
_space_group_name_Hall '-P 4 2 3'
loop_
_atom_site_label
_atom_site_fract_x
_atom_site_fract_y
_atom_site_fract_z
Na1 0.000 0.000 0.000
S1 0.000 0.000 0.500
O1 0.500 0.500 0.500
```

---

Record 9
The following is a DFT calculation (PBE) of a relaxed NaSO4 crystal.

Results
The total energy comes out at -5.557 eV per atom. As for the offset from the most stable computed form: 0.074 eV/atom. As for the raw formation energy: -1344 meV/atom.

```
data_NaSO4
_cell_length_a 5.053
_cell_length_b 5.053
_cell_length_c 6.557
_cell_angle_alpha 90.00
_cell_angle_beta 90.00
_cell_angle_gamma 90.00
_space_group_name_H-M_alt 'I -4 2 m'
_space_group_IT_number 121
_space_group_name_Hall 'I -4 2'
loop_
_atom_site_label
_atom_site_fract_x
_atom_site_fract_y
_atom_site_fract_z
Na1 0.000 0.000 0.000
S1 0.000 0.000 0.500
O1 0.171 0.171 0.372
```

---

Record 10
The following is a DFT calculation (PBE) of a relaxed Na2SO4 crystal.

Results
The total energy comes out at -3.970 eV per atom. As for the offset from the most stable computed form: 1.642 eV/atom. As for the raw formation energy: -170 meV/atom.

```
data_Na2SO4
_cell_length_a 4.9637
_cell_length_b 4.9637
_cell_length_c 8.3639
_cell_angle_alpha 90.00
_cell_angle_beta 90.00
_cell_angle_gamma 120.00
_space_group_name_H-M_alt 'P -3 m 1'
_space_group_IT_number 164
_space_group_name_Hall '-P 3 2"'
loop_
_atom_site_label
_atom_site_fract_x
_atom_site_fract_y
_atom_site_fract_z
Na1 0.0000 0.0000 0.0000
Na2 0.0000 0.0000 0.5000
Na3 0.3333 0.6667 0.0449
S1 0.3333 0.6667 0.7206
O1 0.1535 0.3071 0.2280
O2 0.3333 0.6667 0.5478
```